Record 1
Computed, not measured: a relaxed structure of ScV2Re2 at the PBE level of DFT.

```
ScV2Re2
1.0
7.485 0.000 0.000
0.000 7.485 0.000
0.000 0.000 2.847
Sc Re V
2 4 4
Direct
0.000 0.000 0.000
0.500 0.500 0.000
0.152 0.652 0.500
0.652 0.848 0.500
0.848 0.348 0.500
0.348 0.152 0.500
0.357 0.857 0.000
0.857 0.643 0.000
0.643 0.143 0.000
0.143 0.357 0.000
```

Formation energy   0.39 eV per formula unit
Raw total energy   -9.816 eV/atom
SG   P4/mbm

***

Record 2
Computed, not measured: a relaxed structure of ScVRe3 at the PBE level of DFT.

```
ScVRe3
1.0
-1.070 -1.266 -4.236
2.509 -3.763 0.490
-3.640 -2.221 1.583
Sc Re V
1 3 1
Direct
0.000 0.000 0.000
0.000 0.500 0.000
0.000 0.000 0.500
0.500 0.000 0.000
0.500 0.500 0.500
```

Formation energy   11.80 eV per formula unit
Raw total energy   -8.199 eV/atom
SG   Pm-3m

***

Record 3
Computed, not measured: a relaxed structure of Sc2VRe2 at the PBE level of DFT.

```
Sc2VRe2
1.0
-3.131 -4.615 -3.106
-1.786 -2.541 5.576
-3.726 2.549 -0.032
Sc Re V
4 4 2
Direct
0.174 0.674 0.500
0.674 0.826 0.500
0.826 0.326 0.500
0.326 0.174 0.500
0.363 0.863 0.000
0.863 0.637 0.000
0.637 0.137 0.000
0.137 0.363 0.000
0.000 0.000 0.000
0.500 0.500 0.000
```

Formation energy   0.29 eV per formula unit
Raw total energy   -9.277 eV/atom
SG   P4/mbm

***

Record 4
Computed, not measured: a relaxed structure of ScVRe2 at the PBE level of DFT.

```
ScVRe2
1.0
-4.220 1.481 -5.566
-4.554 -5.082 2.101
-5.705 -0.010 -0.257
Sc Re V
2 4 2
Direct
0.500 0.500 0.000
0.250 0.750 0.500
0.662 0.125 0.250
0.088 0.625 0.250
0.375 0.338 0.750
0.875 0.912 0.750
0.000 0.000 0.000
0.750 0.250 0.500
```

Formation energy   2.06 eV per formula unit
Raw total energy   -9.572 eV/atom
SG   I-42d

***

Record 5
Computed, not measured: a relaxed structure of ScVRe at the PBE level of DFT.

```
ScVRe
1.0
3.150 0.000 0.000
0.000 3.150 0.000
-1.575 -1.575 5.025
Sc Re V
1 1 1
Direct
0.621 0.621 0.242
0.303 0.303 0.606
0.926 0.926 0.852
```

Formation energy   -0.30 eV per formula unit
Raw total energy   -9.400 eV/atom
SG   I4mm

***

Record 6
Computed, not measured: a relaxed structure of Sc2VRe at the PBE level of DFT.

```
Sc2VRe
1.0
1.725 0.000 9.673
-0.863 1.494 9.673
-0.863 -1.494 9.673
Sc Re V
2 1 1
Direct
0.908 0.908 0.908
0.092 0.092 0.092
0.500 0.500 0.500
0.000 0.000 0.000
```

Formation energy   2.01 eV per formula unit
Raw total energy   -8.056 eV/atom
SG   R-3m

***

Record 7
Computed, not measured: a relaxed structure of ScV4Re at the PBE level of DFT.

```
ScV4Re
1.0
-0.443 4.809 -1.352
-3.471 1.351 -3.358
-3.997 2.656 1.456
Sc Re V
1 1 4
Direct
0.250 0.250 0.250
0.000 0.000 0.000
0.625 0.625 0.126
0.625 0.126 0.625
0.625 0.625 0.625
0.126 0.625 0.625
```

Formation energy   -0.01 eV per formula unit
Raw total energy   -9.211 eV/atom
SG   F-43m

***

Record 8
Computed, not measured: a relaxed structure of ScVRe4 at the PBE level of DFT.

```
ScVRe4
1.0
-2.492 -0.660 4.526
-0.830 -4.801 1.839
2.606 -1.671 4.188
Sc Re V
1 4 1
Direct
0.000 0.000 0.000
0.625 0.625 0.125
0.625 0.125 0.625
0.625 0.625 0.625
0.125 0.625 0.625
0.250 0.250 0.250
```

Formation energy   -0.06 eV per formula unit
Raw total energy   -10.883 eV/atom
SG   F-43m

***

Record 9
Computed, not measured: a relaxed structure of Sc2V2Re at the PBE level of DFT.

```
Sc2V2Re
1.0
-5.638 -2.283 1.158
2.129 -2.625 5.188
-1.083 3.901 2.418
Sc Re V
4 2 4
Direct
0.173 0.673 0.500
0.673 0.827 0.500
0.827 0.327 0.500
0.327 0.173 0.500
0.000 0.000 0.000
0.500 0.500 0.000
0.363 0.863 0.000
0.863 0.637 0.000
0.637 0.137 0.000
0.137 0.363 0.000
```

Formation energy   0.46 eV per formula unit
Raw total energy   -8.578 eV/atom
SG   P4/mbm

***

Record 10
Computed, not measured: a relaxed structure of Sc2VRe2 at the PBE level of DFT.

```
Sc2VRe2
1.0
3.884 0.000 0.000
0.000 3.884 0.000
1.942 1.942 6.304
Sc Re V
2 2 1
Direct
0.750 0.250 0.500
0.250 0.750 0.500
0.407 0.407 0.186
0.593 0.593 0.814
0.000 0.000 0.000
```

Formation energy   4.43 eV per formula unit
Raw total energy   -8.449 eV/atom
SG   I4/mmm

***

Record 11
Computed, not measured: a relaxed structure of Sc4ReW at the PBE level of DFT.

```
Sc4ReW
1.0
0.000 3.838 3.838
3.838 0.000 3.838
3.838 3.838 0.000
Sc Re W
4 1 1
Direct
0.875 0.375 0.375
0.375 0.375 0.875
0.375 0.875 0.375
0.375 0.375 0.375
0.000 0.000 0.000
0.750 0.750 0.750
```

Formation energy   4.55 eV per formula unit
Raw total energy   -7.696 eV/atom
SG   F-43m

***

Record 12
Computed, not measured: a relaxed structure of ScRe2W2 at the PBE level of DFT.

```
ScRe2W2
1.0
-4.491 3.586 -5.220
-0.957 -6.710 -3.786
-2.318 -0.573 1.601
Sc Re W
2 4 4
Direct
0.000 0.000 0.000
0.500 0.500 0.000
0.150 0.650 0.500
0.650 0.850 0.500
0.850 0.350 0.500
0.350 0.150 0.500
0.355 0.855 0.000
0.855 0.645 0.000
0.645 0.145 0.000
0.145 0.355 0.000
```

Formation energy   1.07 eV per formula unit
Raw total energy   -11.213 eV/atom
SG   P4/mbm

***

no.,volume (Å³ per atom),total magnetization (μB/f.u.)
1,15.95,0.0
2,18.82,1.5
3,18.39,0.0
4,17.00,0.0
5,16.62,0.0
6,18.71,1.6
7,14.86,0.0
8,16.65,1.2
9,18.08,0.3
10,19.02,0.9
11,18.84,0.0
12,17.33,0.0